# 1
## In3Te4 (GGA-PBE)

Data for a relaxed In3Te4 crystal.

The structure belongs to space group R-3m (No. 166, hexagonal axes); the cell edges are 4.3313, 4.3313 and 42.2580 Å and the angles 90.00°, 90.00° and 120.00°. The inequivalent atoms are In at (0.0000, 0.0000, 0.0000), In at (0.0000, 0.0000, 0.4253), Te at (0.0000, 0.0000, 0.1267) and Te at (0.0000, 0.0000, 0.2915).

The calculation puts the calculated total energy at -3.2377 eV/atom. The distance to the lowest polymorph of the same formula is 1.2 meV/atom. The value obtained for the theoretical density is 6203 kg/m³. The raw formation energy is -1.9 eV/f.u. The density of states at the Fermi level is 6.23 states/eV/cell. The calculation puts the calculated volume at 686.55 Å³/cell.

***

# 2
## Zn2As2O7 (GGA-PBE)

Data for a relaxed Zn2As2O7 crystal.

The structure belongs to space group C2/m (No. 12); the cell edges are 6.763, 8.617 and 4.874 Å and the angles 90.00°, 104.67° and 90.00°. The inequivalent atoms are Zn at (0.000, 0.192, 0.000), As at (0.231, 0.500, 0.402), O at (0.000, 0.500, 0.500), O at (0.093, 0.000, 0.273) and O at (0.232, 0.334, 0.211).

The calculation puts the calculated total energy at -5.5049 eV/atom. The distance to the lowest polymorph of the same formula is 28.0 meV/atom. The value obtained for the theoretical density is 4746 kg/m³. The raw formation energy is -14.0 eV/f.u. The density of states at the Fermi level is 0.00 states/eV/cell. The calculation puts the calculated volume at 274.79 Å³/cell.

***

# 3
## Rb2NaLiI4 (GGA-PBE)

Data for a relaxed Rb2NaLiI4 crystal.

The structure belongs to space group C2/c (No. 15); the cell edges are 13.772, 13.740 and 9.693 Å and the angles 90.00°, 134.63° and 90.00°. The inequivalent atoms are Rb at (0.000, 0.000, 0.000), Rb at (0.250, 0.250, 0.000), Na at (0.250, 0.250, 0.500), Li at (0.000, 0.500, 0.000), I at (0.000, 0.269, 0.023) and I at (0.217, 0.489, 0.468).

The calculation puts the calculated total energy at -2.7364 eV/atom. The value obtained for the theoretical density is 3605 kg/m³. The raw formation energy is -10.5 eV/f.u. The density of states at the Fermi level is 0.00 states/eV/cell. The calculation puts the calculated volume at 1305.28 Å³/cell.

***

# 4
## Hf2Ni2As (GGA-PBE)

Data for a relaxed Hf2Ni2As crystal.

The structure belongs to space group P4/mbm (No. 127); the cell edges are 6.640, 6.640 and 3.614 Å and the angles 90.00°, 90.00° and 90.00°. The inequivalent atoms are Hf at (0.170, 0.330, 0.000), Ni at (0.128, 0.628, 0.500) and As at (0.000, 0.000, 0.500).

The calculation puts the calculated total energy at -7.8033 eV/atom. The distance to the lowest polymorph of the same formula is 0.0 meV/atom. For the calculated formation energy, the calculation gives -579 meV/atom. The value obtained for the theoretical density is 11446 kg/m³. The density of states at the Fermi level is 3.60 states/eV/cell. The calculation puts the calculated volume at 159.37 Å³/cell.

***

# 5
## Ac2Ge2O7 (GGA-PBE)

Data for a relaxed Ac2Ge2O7 crystal.

The structure belongs to space group C2/m (No. 12); the cell edges are 7.677, 9.942 and 5.066 Å and the angles 90.00°, 101.06° and 90.00°. The inequivalent atoms are Ac at (0.000, 0.198, 0.000), Ge at (0.218, 0.500, 0.419), O at (0.000, 0.500, 0.500), O at (0.125, 0.000, 0.278) and O at (0.239, 0.353, 0.229).

The calculation puts the calculated total energy at -7.2907 eV/atom. The value obtained for the theoretical density is 6224 kg/m³. The raw formation energy is -28.0 eV/f.u. The density of states at the Fermi level is 0.00 states/eV/cell. The calculation puts the calculated volume at 379.50 Å³/cell.

***

# 6
## TlIn5Bi (GGA-PBE)

Data for a relaxed TlIn5Bi crystal.

The structure belongs to space group P4/mmm (No. 123); the cell edges are 4.599, 4.599 and 10.033 Å and the angles 90.00°, 90.00° and 90.00°. The inequivalent atoms are Tl at (0.000, 0.000, 0.000), In at (0.000, 0.500, 0.267), In at (0.500, 0.500, 0.000) and Bi at (0.000, 0.000, 0.500).

The calculation puts the calculated total energy at -2.7990 eV/atom. For the calculated formation energy, the calculation gives 49 meV/atom. The value obtained for the theoretical density is 7728 kg/m³. The density of states at the Fermi level is 3.45 states/eV/cell. The calculation puts the calculated volume at 212.19 Å³/cell.

***

Q: The lowest calculated volume belongs to which entry?
A: Hf2Ni2As